Al2MoCl | Alexandria | GGA-PBE | optimized geometry; energy relative to the elements, uncorrected = 0.688 eV per atom; DOS at the Fermi energy = 2.50 states/eV/f.u.; calculated volume = 68.29 Å³/cell; total moment = 0.000 μB/atom; space group = Fm-3m
1.0
0.0000 3.2442 3.2442
3.2442 0.0000 3.2442
3.2442 3.2442 0.0000
Al Cl Mo
2 1 1
direct
0.7500 0.7500 0.7500
0.2500 0.2500 0.2500
0.0000 0.0000 0.0000
0.5000 0.5000 0.5000

=====

IrWCl2 | Alexandria | GGA-PBE | optimized geometry; energy relative to the elements, uncorrected = 1.288 eV per atom; DOS at the Fermi energy = 4.05 states/eV/f.u.; calculated volume = 63.06 Å³/cell; total moment = 0.000 μB/atom; space group = Pmmm
1.0
-1.7102 -2.1035 1.0354
2.6120 -2.6153 -0.9990
2.4563 0.5086 5.0903
Ir Cl W
1 2 1
direct
0.5000 0.5000 0.2500
0.0000 0.0000 0.9884
0.0000 0.0000 0.5116
0.5000 0.5000 0.7500

=====

Sequential ΔE to the lowest computed polymorph output: 1.049; 1.473 eV per atom